Density functional theory data (PBE-GGA) for Ni3RhBr after structural relaxation.

a = 4.2988 Å, b = 4.2988 Å, c = 4.2988 Å
α = 90.00°, β = 90.00°, γ = 90.00°
Closest atoms and distances in Å follow each position.
Fractional positions:
Ni 0.0000 0.5000 0.0000  2 Br 2.15
Ni 0.0000 0.0000 0.5000  2 Br 2.15
Ni 0.5000 0.0000 0.0000  2 Br 2.15
Rh 0.5000 0.5000 0.5000  12 Ni 3.04
Br 0.0000 0.0000 0.0000  6 Ni 2.15

* calculated density: 7.50 Mg/m³
* E_form (uncorrected): 1033.3 meV/atom
* crystal system: cubic
* volume: 15.9 Å³ per atom
* magnetic moment: 1.68 Bohr magnetons per cell



Density functional theory data (PBE-GGA) for NiRhBr2 after structural relaxation.

a = 4.5903 Å, b = 4.5903 Å, c = 4.5903 Å
α = 60.00°, β = 60.00°, γ = 60.00°
Closest atoms and distances in Å follow each position.
Fractional positions:
Ni 0.0000 0.0000 0.0000  8 Br 2.81
Rh 0.5000 0.5000 0.5000  8 Br 2.81
Br 0.2500 0.2500 0.2500  4 Rh 2.81, 4 Ni 2.81
Br 0.7500 0.7500 0.7500  4 Rh 2.81, 4 Ni 2.81

* calculated density: 7.80 Mg/m³
* E_form (uncorrected): 622.0 meV/atom
* crystal system: cubic
* volume: 17.1 Å³ per atom
* magnetic moment: 0.01 Bohr magnetons per cell



Density functional theory data (PBE-GGA) for Ni2RhBr after structural relaxation.

a = 2.8222 Å, b = 2.8222 Å, c = 8.5655 Å
α = 90.00°, β = 90.00°, γ = 119.13°
Closest atoms and distances in Å follow each position.
Fractional positions:
Br 0.5000 0.5000 0.7691  2 Ni 2.55, 4 Br 2.82
Ni 0.0000 0.0000 0.0158  2 Ni 2.39, 2 Br 2.55
Ni 0.5000 0.5000 0.2390  2 Ni 2.39, 2 Rh 2.48
Rh 0.0000 0.0000 0.4762  2 Ni 2.48

* calculated density: 8.36 Mg/m³
* E_form (uncorrected): 655.5 meV/atom
* crystal system: orthorhombic
* volume: 14.9 Å³ per atom
* magnetic moment: 1.53 Bohr magnetons per cell



Density functional theory data (PBE-GGA) for Ni2RhBr after structural relaxation.

a = 4.6640 Å, b = 4.6640 Å, c = 4.6100 Å
α = 74.05°, β = 74.05°, γ = 37.05°
Closest atoms and distances in Å follow each position.
Fractional positions:
Br 0.2500 0.2500 0.2500  6 Ni 2.62-2.88, 4 Rh 2.74
Ni 0.9949 0.9949 0.9778  2 Ni 2.55, 2 Br 2.62, 3 Rh 2.65-2.67
Ni 0.5051 0.5051 0.5222  2 Ni 2.55, 2 Br 2.62, 3 Rh 2.65-2.67
Rh 0.7500 0.7500 0.7500  6 Ni 2.65-2.67, 4 Br 2.74, 2 Rh 2.96

* calculated density: 8.62 Mg/m³
* E_form (uncorrected): 582.6 meV/atom
* crystal system: monoclinic
* volume: 14.5 Å³ per atom
* magnetic moment: 2.04 Bohr magnetons per cell



Density functional theory data (PBE-GGA) for NiRhBr3 after structural relaxation.

a = 4.8823 Å, b = 4.8823 Å, c = 4.8823 Å
α = 90.00°, β = 90.00°, γ = 90.00°
Closest atoms and distances in Å follow each position.
Fractional positions:
Ni 0.0000 0.0000 0.0000  6 Br 2.44
Rh 0.5000 0.5000 0.5000  12 Br 3.45
Br 0.0000 0.5000 0.0000  2 Ni 2.44
Br 0.0000 0.0000 0.5000  2 Ni 2.44
Br 0.5000 0.0000 0.0000  2 Ni 2.44

* calculated density: 5.73 Mg/m³
* E_form (uncorrected): 603.6 meV/atom
* crystal system: cubic
* volume: 23.3 Å³ per atom
* magnetic moment: 0.02 Bohr magnetons per cell



Density functional theory data (PBE-GGA) for NiRuRh2Br after structural relaxation.

a = 4.5987 Å, b = 4.4442 Å, c = 4.5987 Å
α = 90.00°, β = 90.00°, γ = 90.00°
Closest atoms and distances in Å follow each position.
Fractional positions:
Ru 0.5000 0.5000 0.5000  8 Rh 3.20, 4 Br 3.25
Rh 0.0000 0.0000 0.5000  2 Ni 2.30
Rh 0.5000 0.0000 0.0000  2 Ni 2.30
Br 0.0000 0.5000 0.0000  2 Ni 2.22
Ni 0.0000 0.0000 0.0000  2 Br 2.22, 4 Rh 2.30

* calculated density: 7.87 Mg/m³
* E_form (uncorrected): 1460.3 meV/atom
* crystal system: tetragonal
* volume: 18.8 Å³ per atom
* magnetic moment: 5.14 Bohr magnetons per cell



Density functional theory data (PBE-GGA) for NiRhSe2Br after structural relaxation.

a = 4.6559 Å, b = 4.6559 Å, c = 4.8250 Å
α = 90.00°, β = 90.00°, γ = 90.00°
Closest atoms and distances in Å follow each position.
Fractional positions:
Ni 0.0000 0.0000 0.0000  4 Se 2.33, 2 Br 2.41
Rh 0.5000 0.5000 0.5000  4 Br 3.29, 8 Se 3.35
Se 0.0000 0.5000 0.0000  2 Ni 2.33
Se 0.5000 0.0000 0.0000  2 Ni 2.33
Br 0.0000 0.0000 0.5000  2 Ni 2.41

* calculated density: 6.34 Mg/m³
* E_form (uncorrected): 676.5 meV/atom
* crystal system: tetragonal
* volume: 20.9 Å³ per atom
* magnetic moment: 1.72 Bohr magnetons per cell



Density functional theory data (PBE-GGA) for NiRhSe2Br after structural relaxation.

a = 4.8473 Å, b = 4.8473 Å, c = 5.1036 Å
α = 90.00°, β = 90.00°, γ = 90.00°
Closest atoms and distances in Å follow each position.
Fractional positions:
Ni 0.5000 0.5000 0.5000  4 Br 3.43, 8 Se 3.52
Rh 0.0000 0.0000 0.0000  4 Se 2.42, 2 Br 2.55
Se 0.0000 0.5000 0.0000  2 Rh 2.42
Se 0.5000 0.0000 0.0000  2 Rh 2.42
Br 0.0000 0.0000 0.5000  2 Rh 2.55

* calculated density: 5.53 Mg/m³
* E_form (uncorrected): 708.4 meV/atom
* crystal system: tetragonal
* volume: 24.0 Å³ per atom
* magnetic moment: 1.66 Bohr magnetons per cell



Density functional theory data (PBE-GGA) for Sm8Ni3RhBr4 after structural relaxation.

a = 8.0853 Å, b = 8.9916 Å, c = 8.0835 Å
α = 116.73°, β = 120.01°, γ = 90.00°
Closest atoms and distances in Å follow each position.
Fractional positions:
Sm 0.2333 0.6935 0.9607  2 Ni 2.76, 1 Rh 2.79
Sm 0.2332 0.6934 0.4664  2 Ni 2.75, 1 Rh 2.79
Sm 0.2698 0.3096 0.5395  3 Ni 2.75
Sm 0.7274 0.6935 0.9607  2 Ni 2.76, 1 Rh 2.79
Sm 0.2726 0.3065 0.0393  2 Ni 2.76, 1 Rh 2.79
Sm 0.7302 0.6904 0.4605  3 Ni 2.75
Sm 0.7668 0.3066 0.5336  2 Ni 2.75, 1 Rh 2.79
Sm 0.7667 0.3065 0.0393  2 Ni 2.76, 1 Rh 2.79
Ni 0.5000 0.5000 0.0000  6 Sm 2.75-2.76
Ni 0.5000 0.5000 0.5000  6 Sm 2.75-2.76
Ni 0.0000 0.5000 0.5000  6 Sm 2.75-2.76
Rh 0.0000 0.5000 0.0000  6 Sm 2.79
Br 0.5000 0.0000 0.0000  6 Sm 3.29-3.30
Br 0.5000 0.0000 0.5000  6 Sm 3.32-3.33
Br 0.0000 0.0000 0.0000  6 Sm 3.33
Br 0.0000 0.0000 0.5000  6 Sm 3.32-3.33

* calculated density: 6.88 Mg/m³
* E_form (uncorrected): -881.0 meV/atom
* crystal system: trigonal
* volume: 27.2 Å³ per atom
* magnetic moment: 0.00 Bohr magnetons per cell



Density functional theory data (PBE-GGA) for Sm6Ni2RhBr3 after structural relaxation.

a = 4.0464 Å, b = 9.0090 Å, c = 9.8658 Å
α = 111.22°, β = 101.83°, γ = 90.00°
Closest atoms and distances in Å follow each position.
Fractional positions:
Sm 0.3443 0.8766 0.6887  2 Ni 2.76, 1 Rh 2.79
Sm 0.6778 0.5543 0.3555  3 Ni 2.75-2.76
Sm 0.6557 0.1234 0.3113  2 Ni 2.76, 1 Rh 2.79
Sm 0.0146 0.2232 0.0293  1 Ni 2.77, 2 Rh 2.79
Sm 0.9854 0.7768 0.9707  1 Ni 2.77, 2 Rh 2.79
Sm 0.3222 0.4457 0.6445  3 Ni 2.75-2.76
Ni 0.8312 0.6591 0.6625  6 Sm 2.75-2.77
Ni 0.1688 0.3409 0.3375  6 Sm 2.75-2.77
Rh 0.5000 0.0000 0.0000  6 Sm 2.79
Br 0.5000 0.5000 0.0000  6 Sm 3.28-3.30
Br 0.8331 0.1679 0.6662  6 Sm 3.28-3.38
Br 0.1669 0.8321 0.3338  6 Sm 3.28-3.38

* calculated density: 6.92 Mg/m³
* E_form (uncorrected): -901.3 meV/atom
* crystal system: monoclinic
* volume: 27.3 Å³ per atom
* magnetic moment: 0.00 Bohr magnetons per cell



Density functional theory data (PBE-GGA) for NiRhWBr2 after structural relaxation.

a = 4.9542 Å, b = 4.6326 Å, c = 4.9542 Å
α = 90.00°, β = 90.00°, γ = 90.00°
Closest atoms and distances in Å follow each position.
Fractional positions:
Ni 0.0000 0.5000 0.0000  2 Rh 2.32
Rh 0.0000 0.0000 0.0000  2 Ni 2.32, 4 Br 2.48
Br 0.0000 0.0000 0.5000  2 Rh 2.48
Br 0.5000 0.0000 0.0000  2 Rh 2.48
W 0.5000 0.5000 0.5000  8 Br 3.39, 4 Ni 3.50

* calculated density: 7.38 Mg/m³
* E_form (uncorrected): 1588.5 meV/atom
* crystal system: tetragonal
* volume: 22.7 Å³ per atom
* magnetic moment: 5.39 Bohr magnetons per cell



Density functional theory data (PBE-GGA) for Zn2NiRhBr after structural relaxation.

a = 4.5559 Å, b = 4.6450 Å, c = 4.5559 Å
α = 90.00°, β = 90.00°, γ = 90.00°
Closest atoms and distances in Å follow each position.
Fractional positions:
Ni 0.0000 0.0000 0.0000  4 Zn 2.28, 2 Br 2.32
Zn 0.0000 0.0000 0.5000  2 Ni 2.28
Zn 0.5000 0.0000 0.0000  2 Ni 2.28
Rh 0.5000 0.5000 0.5000  4 Br 3.22, 8 Zn 3.25
Br 0.0000 0.5000 0.0000  2 Ni 2.32

* calculated density: 6.41 Mg/m³
* E_form (uncorrected): 692.2 meV/atom
* crystal system: tetragonal
* volume: 19.3 Å³ per atom
* magnetic moment: 0.54 Bohr magnetons per cell



> Which of these has the lowest calculated density?

number 8



> What is the volume in the fifth record?

23.3 Å³ per atom



> Among the records above, which one has the highest calculated density?

number 4